# 1
A relaxed structure of Ca2IrSN. Source: the Alexandria database, functional PBE-GGA.

a = 5.1158 Å, b = 5.1158 Å, c = 3.7285 Å
α = 90.00°, β = 90.00°, γ = 90.00°
Space group P4/mmm (No. 123)
One atom of each set of equivalent atoms:
Ca1 0.0000 0.5000 0.0000
Ir1 0.0000 0.0000 0.5000
S1 0.5000 0.5000 0.5000
N1 0.0000 0.0000 0.0000

formation energy without anion corrections = -1.02 eV/atom
spin magnetization = 0.00 μB/f.u.

***

# 2
A relaxed structure of TiNiMoW. Source: the Alexandria database, functional PBE-GGA.

a = 6.1881 Å, b = 6.1881 Å, c = 6.1881 Å
α = 90.00°, β = 90.00°, γ = 90.00°
Space group F-43m (No. 216)
One atom of each set of equivalent atoms:
Ti1 0.0000 0.0000 0.0000
Ni1 0.2500 0.2500 0.7500
Mo1 0.2500 0.2500 0.2500
W1 0.0000 0.0000 0.5000

spin magnetization = 0.00 μB/f.u.
DFT formation energy = -0.0625 eV/atom

***

Ordered DOS(E_F) results: 0.22; 1.11; unit states/eV/atom.
Ordered ρ results: 5.4; 10.8; unit g cm⁻³.
Ordered calculated volume results: 19.52; 14.81; unit Å³ per atom.